An optimized crystal structure of DySc2N3, computed with GGA-PBE. Values from VASP.

Computed properties:
**Magnetization**: 0.01 μB per formula unit
**Electronic total energy**: -8.838 eV per atom
**Calculated volume**: 12.4 Å³/atom
**Space group**: P-3m1 (164)

Structure (Quantum ESPRESSO input):
```
&SYSTEM
  ibrav = 0, nat = 6, ntyp = 3
/
ATOMIC_SPECIES
Dy 162.50 Dy.upf
Sc 44.96 Sc.upf
N 14.01 N.upf
CELL_PARAMETERS angstrom
3.278 0.000 0.000
-1.639 2.839 0.000
0.000 0.000 8.022
ATOMIC_POSITIONS crystal
Dy 0.000 0.000 0.000
Sc 0.333 0.667 0.341
Sc 0.667 0.333 0.659
N 0.000 0.000 0.500
N 0.333 0.667 0.820
N 0.667 0.333 0.180
```

=====

An optimized crystal structure of Dy2ScN3, computed with GGA-PBE. Values from VASP.

Computed properties:
**Magnetization**: 0.00 μB per formula unit
**Electronic total energy**: -8.482 eV per atom
**Calculated volume**: 13.5 Å³/atom
**Space group**: P-3m1 (164)

Structure (Quantum ESPRESSO input):
```
&SYSTEM
  ibrav = 0, nat = 6, ntyp = 3
/
ATOMIC_SPECIES
Dy 162.50 Dy.upf
Sc 44.96 Sc.upf
N 14.01 N.upf
CELL_PARAMETERS angstrom
3.371 0.000 0.000
-1.686 2.919 0.000
0.000 0.000 8.246
ATOMIC_POSITIONS crystal
Dy 0.333 0.667 0.326
Dy 0.667 0.333 0.674
Sc 0.000 0.000 0.000
N 0.000 0.000 0.500
N 0.333 0.667 0.846
N 0.667 0.333 0.154
```

=====

An optimized crystal structure of Dy3SeN2, computed with GGA-PBE. Values from VASP.

Computed properties:
**Magnetization**: 0.01 μB per formula unit
**Electronic total energy**: -7.375 eV per atom
**Calculated volume**: 17.3 Å³/atom
**Space group**: P-3m1 (164)

Structure (Quantum ESPRESSO input):
```
&SYSTEM
  ibrav = 0, nat = 6, ntyp = 3
/
ATOMIC_SPECIES
Dy 162.50 Dy.upf
Se 78.96 Se.upf
N 14.01 N.upf
CELL_PARAMETERS angstrom
3.589 0.000 0.000
-1.795 3.108 0.000
0.000 0.000 9.321
ATOMIC_POSITIONS crystal
Dy 0.000 0.000 0.000
Dy 0.333 0.667 0.715
Dy 0.667 0.333 0.285
Se 0.000 0.000 0.500
N 0.333 0.667 0.156
N 0.667 0.333 0.844
```

=====

An optimized crystal structure of Dy3Se2N, computed with GGA-PBE. Values from VASP.

Computed properties:
**Magnetization**: 0.01 μB per formula unit
**Electronic total energy**: -6.532 eV per atom
**Calculated volume**: 20.5 Å³/atom
**Space group**: P-3m1 (164)

Structure (Quantum ESPRESSO input):
```
&SYSTEM
  ibrav = 0, nat = 6, ntyp = 3
/
ATOMIC_SPECIES
Dy 162.50 Dy.upf
Se 78.96 Se.upf
N 14.01 N.upf
CELL_PARAMETERS angstrom
3.757 0.000 0.000
-1.879 3.254 0.000
0.000 0.000 10.037
ATOMIC_POSITIONS crystal
Dy 0.000 0.000 0.000
Dy 0.333 0.667 0.626
Dy 0.667 0.333 0.374
Se 0.333 0.667 0.184
Se 0.667 0.333 0.816
N 0.000 0.000 0.500
```